DFT (PBE-GGA) results for crystalline YTl2P at its relaxed geometry.

The structure belongs to space group Pm (No. 6); the cell edges are 3.8767, 3.8744 and 7.4719 Å and the angles 90.00°, 93.42° and 90.00°. The inequivalent atoms are Y at (0.0000, 0.0000, 0.0000), Tl at (0.1075, 0.0000, 0.5661), Tl at (0.5607, 0.5000, 0.3179) and P at (0.4925, 0.5000, 0.9404).

The magnetization comes out at 0.0000 μB per atom. For the theoretical density, the calculation gives 7.84 g cm⁻³. As for the density of states at the Fermi level: 0.281 states/eV per atom. The value obtained for the offset from the most stable computed form is 0 meV per atom. The volume is 112 Å³/cell. The total energy comes out at -4.667 eV per atom.